Compound: CsMg6Tl8
Source: Alexandria via LeMat-Bulk
Functional: GGA-PBE
Structure: optimized geometry

- total magnetic moment (μB/f.u.) = 0.00
- VASP energy (eV per atom) = -1.912
- E_form (eV per atom) = 0.045
- V (Å³/cell) = 448.3

Lattice parameters (Å, degrees): 7.883 7.883 7.883 75.19 75.19 75.19
Sites, in units of the cell vectors:
Cs  0.000  0.000  0.000
Mg  0.176  0.372  0.572
Mg  0.372  0.572  0.176
Mg  0.428  0.824  0.628
Mg  0.572  0.176  0.372
Mg  0.628  0.428  0.824
Mg  0.824  0.628  0.428
Tl  0.134  0.799  0.454
Tl  0.201  0.546  0.866
Tl  0.226  0.226  0.226
Tl  0.454  0.134  0.799
Tl  0.546  0.866  0.201
Tl  0.774  0.774  0.774
Tl  0.799  0.454  0.134
Tl  0.866  0.201  0.546


Compound: CsMgTl3
Source: Alexandria via LeMat-Bulk
Functional: GGA-PBE
Structure: optimized geometry

- total magnetic moment (μB/f.u.) = 0.00
- VASP energy (eV per atom) = -0.998
- energy above the lowest structure with this stoichiometry (meV/atom) = 982
- E_form (eV per atom) = 0.911
- V (Å³/cell) = 301.8

Lattice parameters (Å, degrees): 6.708 6.708 6.708 90.00 90.00 90.00
Sites, in units of the cell vectors:
Cs  0.000  0.000  0.000
Mg  0.500  0.500  0.500
Tl  0.000  0.000  0.500
Tl  0.000  0.500  0.000
Tl  0.500  0.000  0.000


Compound: CsMgTl2
Source: Alexandria via LeMat-Bulk
Functional: GGA-PBE
Structure: optimized geometry

- total magnetic moment (μB/f.u.) = 0.00
- VASP energy (eV per atom) = -1.664
- energy above the lowest structure with this stoichiometry (meV/atom) = 202
- E_form (eV per atom) = 0.131
- V (Å³/cell) = 568.7

Lattice parameters (Å, degrees): 8.285 8.285 8.285 90.00 90.00 90.00
Sites, in units of the cell vectors:
Cs  0.000  0.000  0.000
Cs  0.000  0.500  0.500
Cs  0.500  0.000  0.500
Cs  0.500  0.500  0.000
Mg  0.000  0.000  0.500
Mg  0.000  0.500  0.000
Mg  0.500  0.000  0.000
Mg  0.500  0.500  0.500
Tl  0.250  0.250  0.250
Tl  0.250  0.250  0.750
Tl  0.250  0.750  0.250
Tl  0.250  0.750  0.750
Tl  0.750  0.250  0.250
Tl  0.750  0.250  0.750
Tl  0.750  0.750  0.250
Tl  0.750  0.750  0.750


Compound: CsMg6Tl12
Source: Alexandria via LeMat-Bulk
Functional: GGA-PBE
Structure: optimized geometry

- total magnetic moment (μB/f.u.) = 0.00
- VASP energy (eV per atom) = -2.040
- energy above the lowest structure with this stoichiometry (meV/atom) = 0
- E_form (eV per atom) = 0.003
- V (Å³/cell) = 566.3

Lattice parameters (Å, degrees): 9.406 9.406 9.406 112.22 112.22 112.22
Sites, in units of the cell vectors:
Cs  0.000  0.000  0.000
Mg  0.020  0.548  0.304
Mg  0.304  0.020  0.548
Mg  0.452  0.696  0.980
Mg  0.548  0.304  0.020
Mg  0.696  0.980  0.452
Mg  0.980  0.452  0.696
Tl  0.139  0.207  0.730
Tl  0.201  0.405  0.510
Tl  0.207  0.730  0.139
Tl  0.270  0.861  0.793
Tl  0.405  0.510  0.201
Tl  0.490  0.799  0.595
Tl  0.510  0.201  0.405
Tl  0.595  0.490  0.799
Tl  0.730  0.139  0.207
Tl  0.793  0.270  0.861
Tl  0.799  0.595  0.490
Tl  0.861  0.793  0.270


Compound: CsMgTl5
Source: Alexandria via LeMat-Bulk
Functional: GGA-PBE
Structure: optimized geometry

- total magnetic moment (μB/f.u.) = 0.00
- VASP energy (eV per atom) = -2.083
- E_form (eV per atom) = -0.043
- V (Å³/cell) = 251.7

Lattice parameters (Å, degrees): 4.668 4.668 11.549 90.00 90.00 90.00
Sites, in units of the cell vectors:
Cs  0.000  0.000  0.000
Mg  0.500  0.500  0.500
Tl  0.000  0.000  0.500
Tl  0.000  0.500  0.285
Tl  0.000  0.500  0.715
Tl  0.500  0.000  0.285
Tl  0.500  0.000  0.715


Compound: CsMg4Tl5
Source: Alexandria via LeMat-Bulk
Functional: GGA-PBE
Structure: optimized geometry

- total magnetic moment (μB/f.u.) = 0.00
- VASP energy (eV per atom) = -1.954
- E_form (eV per atom) = -0.047
- V (Å³/cell) = 281.8

Lattice parameters (Å, degrees): 3.770 3.770 19.822 90.00 90.00 90.00
Sites, in units of the cell vectors:
Cs  0.000  0.000  0.000
Mg  0.000  0.000  0.234
Mg  0.000  0.000  0.410
Mg  0.000  0.000  0.590
Mg  0.000  0.000  0.766
Tl  0.500  0.500  0.145
Tl  0.500  0.500  0.321
Tl  0.500  0.500  0.500
Tl  0.500  0.500  0.679
Tl  0.500  0.500  0.855